(1)
Here is a crystal of Si3AuF relaxed with PBEsol from the Alexandria database. Energies are from meta-GGA SCAN.

Cell: 4.317 4.317 4.317 Å, 90.00 90.00 90.00°
Space group Pm-3m (No. 221)
Symmetry-distinct sites (fractional):
Si: 0.000 0.000 0.500
Au: 0.500 0.500 0.500
F: 0.000 0.000 0.000

## Properties
**Total magnetic moment**: 0.00 μB per atom
**E**: -1.4668 Ry/atom
**Energy above the most stable polymorph in this dataset**: 0 meV per atom
**Formation energy from raw total energies**: 0.5927 eV/atom

(2)
Here is a crystal of Si3AuF relaxed with PBEsol from the Alexandria database. Energies are from meta-GGA SCAN.

Cell: 4.815 4.815 4.815 Å, 90.00 90.00 90.00°
Space group Pm-3m (No. 221)
Symmetry-distinct sites (fractional):
Si: 0.000 0.000 0.500
Au: 0.000 0.000 0.000
F: 0.500 0.500 0.500

## Properties
**Total magnetic moment**: 0.00 μB per atom
**E**: -1.4490 Ry/atom
**Energy above the most stable polymorph in this dataset**: 242 meV per atom
**Formation energy from raw total energies**: 0.8343 eV/atom

(3)
Here is a crystal of Tc3AuF relaxed with PBEsol from the Alexandria database. Energies are from meta-GGA SCAN.

Cell: 4.971 4.971 4.971 Å, 90.00 90.00 90.00°
Space group Pm-3m (No. 221)
Symmetry-distinct sites (fractional):
Tc: 0.000 0.000 0.500
Au: 0.000 0.000 0.000
F: 0.500 0.500 0.500

## Properties
**Total magnetic moment**: 2.48 μB per atom
**E**: -2.4732 Ry/atom
**Formation energy from raw total energies**: 1.9264 eV/atom

(4)
Here is a crystal of TcAuF3 relaxed with PBEsol from the Alexandria database. Energies are from meta-GGA SCAN.

Cell: 4.371 4.371 4.371 Å, 90.00 90.00 90.00°
Space group Pm-3m (No. 221)
Symmetry-distinct sites (fractional):
Tc: 0.000 0.000 0.000
Au: 0.500 0.500 0.500
F: 0.000 0.500 0.500

## Properties
**Total magnetic moment**: 1.03 μB per atom
**E**: -1.7006 Ry/atom
**Formation energy from raw total energies**: -0.1702 eV/atom